Density functional theory data (PBE with a Hubbard U) for a relaxed structure of Ca2ZnFeSi4O12.

```
20
Lattice="-1.344 -0.785 5.107 3.384 -5.658 1.455 5.061 3.077 3.240" Properties=species:S:1:pos:R:3 pbc="T T T"
Si 4.846 -1.810 8.551
Si 1.571 -1.949 3.811
Si 2.562 0.053 1.580
Si 5.219 -3.028 5.661
O 0.032 -1.553 3.479
O 4.518 -2.131 6.928
O 2.636 -0.953 2.931
O 4.213 -4.267 5.493
O 6.770 -3.364 6.007
O 5.118 -2.023 4.313
O 1.925 -1.639 5.429
O 2.055 -3.430 3.424
O 2.239 0.496 6.865
O 1.025 0.404 1.212
O 5.690 0.456 3.819
O 6.377 -2.197 8.912
Fe 2.871 -5.217 4.179
Zn 4.900 2.242 3.069
Ca 3.882 -3.062 1.985
Ca 3.890 0.088 5.263
```

**Energy**: -144.6 eV per cell
**Mass density**: 3.6 Mg/m³
**N(E_F)**: 0.000 states/eV per cell